VTe3Cl: optimized geometry, PBE-GGA.

```
data_VTe3Cl
_space_group_name_H-M_alt 'P 1'
_space_group_IT_number 1
_cell_length_a 5.160
_cell_length_b 5.160
_cell_length_c 5.160
_cell_angle_alpha 90.00
_cell_angle_beta 90.00
_cell_angle_gamma 90.00
loop_
_space_group_symop_operation_xyz
'x,y,z'
loop_
_atom_site_label
_atom_site_fract_x
_atom_site_fract_y
_atom_site_fract_z
_atom_site_occupancy
V1 0.000 0.000 0.000 1
Te1 0.000 0.500 0.000 1
Te2 0.000 0.000 0.500 1
Te3 0.500 0.000 0.000 1
Cl1 0.500 0.500 0.500 1
```

formation energy from raw total energies: 0.049 eV/atom
energy above the lowest structure with this stoichiometry: 285.0 meV per atom
SG: Pm-3m, No. 221